Record 1
A relaxed structure of NaLaMg2Ge2, computed with GGA-PBE.

- calculated density (g cm⁻³) = 4.28
- final energy (eV/atom) = -3.57
- crystal system = trigonal

abc: 4.6511 4.6511 7.3640
angles: 90.00 90.00 120.00
Space group P-3m1 (No. 164)
Inequivalent atoms, fractional coordinates:
Na: 0.0000 0.0000 0.0000
La: 0.0000 0.0000 0.5000
Mg: 0.3333 0.6667 0.1713
Ge: 0.3333 0.6667 0.7446

***

Record 2
A relaxed structure of La2MgNbGe, computed with GGA-PBE.

- calculated density (g cm⁻³) = 4.91
- final energy (eV/atom) = -4.33
- crystal system = tetragonal

abc: 5.6568 5.6568 4.9453
angles: 90.00 90.00 90.00
Space group P4/mmm (No. 123)
Inequivalent atoms, fractional coordinates:
La: 0.0000 0.5000 0.0000
Mg: 0.0000 0.0000 0.0000
Nb: 0.0000 0.0000 0.5000
Ge: 0.5000 0.5000 0.5000

***

Record 3
A relaxed structure of LaNdMgGe, computed with GGA-PBE.

- calculated density (g cm⁻³) = 5.82
- final energy (eV/atom) = -4.36
- crystal system = cubic

abc: 7.5679 7.5679 7.5679
angles: 90.00 90.00 90.00
Space group F-43m (No. 216)
Inequivalent atoms, fractional coordinates:
La: 0.0000 0.0000 0.0000
Nd: 0.0000 0.0000 0.5000
Mg: 0.2500 0.2500 0.7500
Ge: 0.2500 0.2500 0.2500

***

Record 4
A relaxed structure of LaMgNi2Ge, computed with GGA-PBE.

- relative energy among the computed polymorphs (meV per atom) = 0
- calculated density (g cm⁻³) = 5.48
- crystal system = tetragonal

abc: 4.4596 4.4596 5.3797
angles: 90.00 90.00 90.00
Space group P4/mmm (No. 123)
Inequivalent atoms, fractional coordinates:
La: 0.0000 0.0000 0.0000
Mg: 0.5000 0.5000 0.0000
Ni: 0.0000 0.5000 0.5000
Ge: 0.0000 0.0000 0.5000

***

Record 5
A relaxed structure of La2MgNi3Ge4, computed with GGA-PBE.

- calculated density (g cm⁻³) = 6.90
- final energy (eV/atom) = -5.39
- crystal system = tetragonal

abc: 4.2430 4.2430 10.2791
angles: 90.00 90.00 90.00
Space group P-4m2 (No. 115)
Inequivalent atoms, fractional coordinates:
La: 0.0000 0.5000 0.2377
Mg: 0.0000 0.0000 0.5000
Ni: 0.0000 0.5000 0.8852
Ni: 0.5000 0.5000 0.5000
Ge: 0.0000 0.0000 0.0000
Ge: 0.0000 0.5000 0.6503
Ge: 0.5000 0.5000 0.0000

***

Record 6
A relaxed structure of LaMgNi2Ge, computed with GGA-PBE.

- relative energy among the computed polymorphs (meV per atom) = 776
- calculated density (g cm⁻³) = 4.46
- crystal system = tetragonal

abc: 4.7035 4.7035 5.9510
angles: 90.00 90.00 90.00
Space group P4/mmm (No. 123)
Inequivalent atoms, fractional coordinates:
La: 0.0000 0.0000 0.0000
Mg: 0.0000 0.0000 0.5000
Ni: 0.0000 0.5000 0.0000
Ge: 0.5000 0.5000 0.5000

***

Record 7
A relaxed structure of LaMg2NiGe, computed with GGA-PBE.

- calculated density (g cm⁻³) = 4.92
- final energy (eV/atom) = -3.99
- crystal system = tetragonal

abc: 4.8138 4.8138 4.6410
angles: 90.00 90.00 90.00
Space group P4/mmm (No. 123)
Inequivalent atoms, fractional coordinates:
La: 0.0000 0.0000 0.0000
Mg: 0.0000 0.5000 0.5000
Ni: 0.5000 0.5000 0.5000
Ge: 0.5000 0.5000 0.0000

***

Record 8
A relaxed structure of La2MgGeO, computed with GGA-PBE.

- calculated density (g cm⁻³) = 5.88
- crystal system = tetragonal
- uncorrected formation energy (eV/atom) = -1.388

abc: 5.0896 5.0896 4.2606
angles: 90.00 90.00 90.00
Space group P4/mmm (No. 123)
Inequivalent atoms, fractional coordinates:
La: 0.0000 0.5000 0.0000
Mg: 0.0000 0.0000 0.5000
Ge: 0.5000 0.5000 0.5000
O: 0.0000 0.0000 0.0000

***

Record 9
A relaxed structure of LaMgGe2Os, computed with GGA-PBE.

- calculated density (g cm⁻³) = 8.29
- final energy (eV/atom) = -5.79
- crystal system = tetragonal

abc: 4.1924 4.1924 11.3701
angles: 90.00 90.00 90.00
Space group I-4m2 (No. 119)
Inequivalent atoms, fractional coordinates:
La: 0.0000 0.0000 0.0000
Mg: 0.0000 0.5000 0.7500
Ge: 0.0000 0.0000 0.3827
Os: 0.0000 0.5000 0.2500

***

Record 10
A relaxed structure of LaMg2Ge2Pd, computed with GGA-PBE.

- calculated density (g cm⁻³) = 4.89
- final energy (eV/atom) = -3.95
- crystal system = tetragonal

abc: 5.1780 5.1780 11.1270
angles: 90.00 90.00 90.00
Space group I4/mmm (No. 139)
Inequivalent atoms, fractional coordinates:
La: 0.0000 0.0000 0.0000
Mg: 0.0000 0.5000 0.2500
Ge: 0.0000 0.0000 0.2871
Pd: 0.0000 0.0000 0.5000

***

Record 11
A relaxed structure of LaMgGePd, computed with GGA-PBE.

- calculated density (g cm⁻³) = 6.50
- final energy (eV/atom) = -4.70
- crystal system = cubic

abc: 7.0457 7.0457 7.0457
angles: 90.00 90.00 90.00
Space group F-43m (No. 216)
Inequivalent atoms, fractional coordinates:
La: 0.0000 0.0000 0.0000
Mg: 0.0000 0.0000 0.5000
Ge: 0.2500 0.2500 0.7500
Pd: 0.2500 0.2500 0.2500

***

Record 12
A relaxed structure of La2MgGe4Pd3, computed with GGA-PBE.

- calculated density (g cm⁻³) = 7.43
- final energy (eV/atom) = -5.35
- crystal system = tetragonal

abc: 4.3324 4.3324 10.8550
angles: 90.00 90.00 90.00
Space group P-4m2 (No. 115)
Inequivalent atoms, fractional coordinates:
La: 0.0000 0.5000 0.2420
Mg: 0.0000 0.0000 0.5000
Ge: 0.0000 0.0000 0.0000
Ge: 0.0000 0.5000 0.6458
Ge: 0.5000 0.5000 0.0000
Pd: 0.0000 0.5000 0.8764
Pd: 0.5000 0.5000 0.5000